1.
VASP calculation (PBE-GGA) on a geometry-optimized Ac2In3Ga4Ag structure.

Cell and atoms, written as POSCAR:
```
Ac2In3Ga4Ag
1.0
-2.0557 2.5830 3.3836
1.1182 -3.2979 3.1969
9.6452 5.1441 1.9329
Ac In Ga Ag
2 3 4 1
direct
0.5000 0.0000 0.2534
0.0000 0.5000 0.7466
0.0000 0.5000 0.1314
0.0000 0.0000 0.5000
0.5000 0.0000 0.8686
0.0000 0.5000 0.3719
0.5000 0.5000 0.0000
0.5000 0.0000 0.6281
0.0000 0.0000 0.0000
0.5000 0.5000 0.5000
```

Values from the calculation:
The calculated density is 7934 kg/m³. The space group is No. 115. The value obtained for the formation energy is -371 meV/atom. As for the crystal system: tetragonal.

---

2.
VASP calculation (PBE-GGA) on a geometry-optimized Tb2Sm4ErTm structure.

Cell and atoms, written as POSCAR:
```
Tb2Sm4ErTm
1.0
5.0776 0.0000 0.0000
0.0000 4.9870 0.8599
0.0001 3.2781 10.7811
Tb Er Sm Tm
2 1 4 1
direct
0.5000 0.0000 0.5000
0.0000 0.0000 0.0000
0.5000 0.5000 0.0000
0.5000 0.2507 0.7500
0.0000 0.7513 0.7495
0.0000 0.2487 0.2505
0.5000 0.7493 0.2500
0.0000 0.5000 0.5000
```

Values from the calculation:
The calculated density is 8059 kg/m³. The space group is No. 47. The value obtained for the formation energy is 15 meV/atom. As for the crystal system: orthorhombic.

---

3.
VASP calculation (PBE-GGA) on a geometry-optimized HfCd2SiH structure.

Cell and atoms, written as POSCAR:
```
HfCd2SiH
1.0
-4.4700 -1.6052 1.2282
1.3419 -0.0175 4.8607
-1.5430 4.6357 0.4427
Cd Si Hf H
2 1 1 1
direct
0.5000 0.0000 0.0000
0.0000 0.0000 0.5000
0.0000 0.0000 0.0000
0.0000 0.5000 0.0000
0.5000 0.5000 0.5000
```

Values from the calculation:
The calculated total energy is -15.988 eV per cell. The calculated density is 5917 kg/m³. The space group is No. 123. As for the crystal system: tetragonal.

---

4.
VASP calculation (PBE-GGA) on a geometry-optimized YMn3Fe structure.

Cell and atoms, written as POSCAR:
```
YMn3Fe
1.0
-4.4005 -0.4482 0.0491
0.4490 -4.4001 0.0737
0.0414 0.0783 4.4227
Mn Fe Y
3 1 1
direct
0.0000 0.0000 0.5000
0.0000 0.5000 0.0000
0.5000 0.0000 0.0000
0.0000 0.0000 0.0000
0.5000 0.5000 0.5000
```

Values from the calculation:
The calculated density is 5939 kg/m³. The space group is No. 221. The value obtained for the formation energy is 572 meV/atom. As for the crystal system: cubic.

---

5.
VASP calculation (PBE-GGA) on a geometry-optimized Y4InCo structure.

Cell and atoms, written as POSCAR:
```
Y4InCo
1.0
-7.2439 3.8917 -3.8822
1.6041 -5.1384 -2.7597
-1.0329 -2.6683 7.2102
Y In Co
8 2 2
direct
0.3657 0.7568 0.6625
0.2033 0.0944 0.3375
0.7967 0.9056 0.6625
0.6343 0.2432 0.3375
0.0548 0.6001 0.8245
0.9452 0.3999 0.1755
0.2697 0.2245 0.8245
0.7303 0.7755 0.1755
0.3749 0.6249 0.2497
0.6251 0.3751 0.7503
0.0004 0.7504 0.5008
0.9996 0.2496 0.4992
```

Values from the calculation:
The calculated density is 5409 kg/m³. The space group is No. 15. The value obtained for the formation energy is -258 meV/atom. As for the crystal system: monoclinic.

---

6.
VASP calculation (PBE-GGA) on a geometry-optimized NaAlF3 structure.

Cell and atoms, written as POSCAR:
```
NaAlF3
1.0
-0.6475 -3.3367 -2.1924
2.4150 1.4413 -2.9068
3.1793 -1.7744 1.7615
Al F Na
1 3 1
direct
0.0000 0.0000 0.0000
0.0000 0.5000 0.0000
0.5000 0.0000 0.0000
0.0000 0.0000 0.5000
0.5000 0.5000 0.5000
```

Values from the calculation:
For the uncorrected formation energy, the calculation gives -2.543 eV per atom. The calculated density is 2684 kg/m³. The space group is No. 221. As for the crystal system: cubic.

---

7.
VASP calculation (PBE-GGA) on a geometry-optimized Y3Tl2Te6 structure.

Cell and atoms, written as POSCAR:
```
Y3Tl2Te6
1.0
7.2893 0.0000 2.1766
3.6446 6.5837 1.0883
0.1103 0.0000 8.5321
Tl Te Y
2 6 3
direct
0.8338 0.3325 0.5000
0.1662 0.6675 0.5000
0.7386 0.0000 0.7852
0.2614 0.0000 0.2148
0.4062 0.6668 0.7825
0.0730 0.3332 0.7825
0.9270 0.6668 0.2175
0.5938 0.3332 0.2175
0.0000 0.0000 0.0000
0.3318 0.3365 0.0000
0.6682 0.6635 0.0000
```

Values from the calculation:
For the uncorrected formation energy, the calculation gives -1.066 eV per atom. The calculated density is 5867 kg/m³. The space group is No. 12. As for the crystal system: monoclinic.

---

8.
VASP calculation (PBE-GGA) on a geometry-optimized GaNiTeOs2 structure.

Cell and atoms, written as POSCAR:
```
GaNiTeOs2
1.0
4.6199 0.0000 0.0000
0.0000 4.2622 0.0000
0.0000 0.0000 4.6199
Ga Os Ni Te
1 2 1 1
direct
0.0000 0.5000 0.0000
0.0000 0.0000 0.5000
0.5000 0.0000 0.0000
0.0000 0.0000 0.0000
0.5000 0.5000 0.5000
```

Values from the calculation:
For the uncorrected formation energy, the calculation gives 1.217 eV per atom. The calculated density is 11618 kg/m³. The space group is No. 123. As for the crystal system: tetragonal.

---

9.
VASP calculation (PBE-GGA) on a geometry-optimized CaPmTmSc structure.

Cell and atoms, written as POSCAR:
```
CaPmTmSc
1.0
-1.7762 3.3812 4.1310
0.1752 -1.7547 5.3426
3.7083 2.2536 3.5809
Tm Pm Sc Ca
1 1 1 1
direct
0.7500 0.7500 0.7500
0.2500 0.2500 0.2500
0.0000 0.0000 0.0000
0.5000 0.5000 0.5000
```

Values from the calculation:
The calculated density is 5261 kg/m³. The space group is No. 216. The value obtained for the formation energy is 164 meV/atom. As for the crystal system: cubic.

---

10.
VASP calculation (PBE-GGA) on a geometry-optimized Pm2Zn2Si structure.

Cell and atoms, written as POSCAR:
```
Pm2Zn2Si
1.0
-2.8859 -1.4062 -1.5779
-0.8687 -1.6454 3.0551
-3.0510 8.8104 1.7834
Zn Pm Si
2 2 1
direct
0.2500 0.7500 0.5000
0.7500 0.2500 0.5000
0.4008 0.4008 0.8016
0.5992 0.5992 0.1984
0.0000 0.0000 0.0000
```

Values from the calculation:
For the uncorrected formation energy, the calculation gives -0.226 eV per atom. The calculated density is 6367 kg/m³. The space group is No. 139. As for the crystal system: tetragonal.

---

11.
VASP calculation (PBE-GGA) on a geometry-optimized Hg2PtRh structure.

Cell and atoms, written as POSCAR:
```
Hg2PtRh
1.0
0.0000 3.2965 3.2965
3.2965 0.0000 3.2965
3.2965 3.2965 0.0000
Hg Pt Rh
2 1 1
direct
0.7500 0.7500 0.7500
0.0000 0.0000 0.0000
0.5000 0.5000 0.5000
0.2500 0.2500 0.2500
```

Values from the calculation:
The calculated density is 16205 kg/m³. The space group is No. 216. The value obtained for the formation energy is 238 meV/atom. As for the crystal system: cubic.

---

12.
VASP calculation (PBE-GGA) on a geometry-optimized ErSn5 structure.

Cell and atoms, written as POSCAR:
```
ErSn5
1.0
4.5410 0.0000 0.0000
0.0000 4.6096 0.0000
0.0000 -2.3048 7.6446
Er Sn
1 5
direct
0.0000 0.0000 0.0000
0.5000 0.8319 0.6638
0.5000 0.5000 0.0000
0.5000 0.1681 0.3362
0.0000 0.6573 0.3147
0.0000 0.3427 0.6853
```

Values from the calculation:
The calculated density is 7895 kg/m³. The space group is No. 65. The value obtained for the formation energy is -218 meV/atom. As for the crystal system: orthorhombic.